A plane-wave DFT calculation with PBE was carried out for Tb12Y3Sc after structural relaxation.

```
Tb12Y3Sc
1.0
5.017 0.000 0.000
0.000 5.017 0.000
0.000 0.000 20.019
Tb Y Sc
12 3 1
direct
0.000 0.000 0.000 Tb
0.000 0.000 0.247 Tb
0.000 0.000 0.500 Tb
0.000 0.000 0.753 Tb
0.000 0.500 0.121 Tb
0.000 0.500 0.374 Tb
0.000 0.500 0.626 Tb
0.000 0.500 0.879 Tb
0.500 0.000 0.121 Tb
0.500 0.000 0.374 Tb
0.500 0.000 0.626 Tb
0.500 0.000 0.879 Tb
0.500 0.500 0.248 Y
0.500 0.500 0.500 Y
0.500 0.500 0.752 Y
0.500 0.500 0.000 Sc
```

Results
Its formation energy is 0.025 eV per atom. Its space-group type is P4/mmm, No. 123.